The following is a DFT calculation (PBE) of a relaxed Tb2Sm3Te3 crystal.

## Properties
Volume, A^3/atom: 30.111
Formation energy from raw total energies, eV/atom: -0.94
Magnetic moment, μB per cell: 0.007
Calculated density, kg/m³: 7939

Unit cell a=4.0486 b=15.8222 c=15.0420 alpha=90.00 beta=90.00 gamma=90.00
Space group Cmcm (No. 63)
One atom of each set of equivalent atoms:
Tb 0.0000 0.2418 0.1111 (multiplicity 8)
Sm 0.0000 0.0366 0.6128 (multiplicity 8)
Sm 0.0000 0.4008 0.7500 (multiplicity 4)
Te 0.0000 0.3875 0.2500 (multiplicity 4)
Te 0.0000 0.3905 0.5367 (multiplicity 8)